VASP calculation (PBE) on crystalline Sn2Sb2I at its relaxed geometry.

Cell: 8.8807 8.8807 3.9496 Å, 90.00 90.00 90.00°
Closest atoms and distances in Å follow each position.
Element x y z (fractional)
I 0.0000 0.0000 0.0000  4 Sb 3.45
I 0.5000 0.5000 0.0000  4 Sb 3.45
Sb 0.3642 0.8642 0.0000  6 Sn 3.17-3.40, 1 Sb 3.41, 2 I 3.45
Sb 0.8642 0.6358 0.0000  6 Sn 3.17-3.40, 1 Sb 3.41, 2 I 3.45
Sb 0.6358 0.1358 0.0000  6 Sn 3.17-3.40, 1 Sb 3.41, 2 I 3.45
Sb 0.1358 0.3642 0.0000  6 Sn 3.17-3.40, 1 Sb 3.41, 2 I 3.45
Sn 0.1440 0.6440 0.5000  6 Sb 3.17-3.40
Sn 0.6440 0.8560 0.5000  6 Sb 3.17-3.40
Sn 0.8560 0.3560 0.5000  6 Sb 3.17-3.40
Sn 0.3560 0.1440 0.5000  6 Sb 3.17-3.40

**Raw formation energy**: 0.10 eV/atom
**Calculated volume**: 31.150 Å³ per atom
**Total magnetization**: 0.000 μB/atom
**DOS(E_F)**: 6.68 states/eV/cell

=====

VASP calculation (PBE) on crystalline TaCdO3 at its relaxed geometry.

Cell: 3.9988 3.9988 3.9988 Å, 90.00 90.00 90.00°
Closest atoms and distances in Å follow each position.
Element x y z (fractional)
Cd 0.5000 0.5000 0.5000  12 O 2.83
O 0.0000 0.5000 0.0000  2 Ta 2.00
O 0.0000 0.0000 0.5000  2 Ta 2.00
O 0.5000 0.0000 0.0000  2 Ta 2.00
Ta 0.0000 0.0000 0.0000  6 O 2.00

**Raw formation energy**: -1.98 eV/atom
**Calculated volume**: 12.789 Å³ per atom
**Total magnetization**: 0.000 μB/atom
**DOS(E_F)**: 2.04 states/eV/cell

=====

VASP calculation (PBE) on crystalline Sc2FeSbPd at its relaxed geometry.

Cell: 4.7191 4.6783 4.7191 Å, 90.00 90.00 90.00°
Closest atoms and distances in Å follow each position.
Element x y z (fractional)
Sc 0.0000 0.0000 0.5000  2 Fe 2.36
Sc 0.5000 0.0000 0.0000  2 Fe 2.36
Sb 0.0000 0.5000 0.0000  2 Fe 2.34
Fe 0.0000 0.0000 0.0000  2 Sb 2.34, 4 Sc 2.36
Pd 0.5000 0.5000 0.5000  8 Sc 3.32, 4 Sb 3.34

**Raw formation energy**: -0.15 eV/atom
**Calculated volume**: 20.837 Å³ per atom
**Total magnetization**: 0.000 μB/atom
**DOS(E_F)**: 3.59 states/eV/cell

=====

VASP calculation (PBE) on crystalline RePRh at its relaxed geometry.

Cell: 5.2440 5.2440 5.2440 Å, 147.77 147.77 46.23°
Closest atoms and distances in Å follow each position.
Element x y z (fractional)
Re 0.3554 0.3554 0.0000  4 P 2.44
P 0.9918 0.9918 0.0000  4 Re 2.44, 4 Rh 2.58
Rh 0.6527 0.6527 0.0000  4 P 2.58, 5 Re 2.84-2.87

**Formation energy from the elements**: -153 meV/atom
**Calculated volume**: 13.626 Å³ per atom
**Total magnetization**: 0.000 μB/atom
**DOS(E_F)**: 2.21 states/eV/cell

=====

VASP calculation (PBE) on crystalline LaTl3Se at its relaxed geometry.

Cell: 5.6079 5.6079 5.6079 Å, 90.00 90.00 90.00°
Closest atoms and distances in Å follow each position.
Element x y z (fractional)
Tl 0.0000 0.5000 0.0000  2 Se 2.80
Tl 0.0000 0.0000 0.5000  2 Se 2.80
Tl 0.5000 0.0000 0.0000  2 Se 2.80
Se 0.0000 0.0000 0.0000  6 Tl 2.80
La 0.5000 0.5000 0.5000  12 Tl 3.97

**Raw formation energy**: 0.18 eV/atom
**Calculated volume**: 35.273 Å³ per atom
**Total magnetization**: 0.000 μB/atom
**DOS(E_F)**: 5.80 states/eV/cell

=====

VASP calculation (PBE) on crystalline CuMoAs at its relaxed geometry.

Cell: 4.9130 4.9130 4.9130 Å, 142.35 142.36 54.30°
Closest atoms and distances in Å follow each position.
Element x y z (fractional)
As 0.0005 0.0005 0.0000  4 Mo 2.64, 4 Cu 2.65
Cu 0.3395 0.3395 0.0000  5 As 2.65-2.96, 5 Mo 2.74-2.80
Mo 0.6600 0.6600 0.0000  4 As 2.64, 5 Cu 2.74-2.80

**Formation energy from the elements**: 161 meV/atom
**Calculated volume**: 14.648 Å³ per atom
**Total magnetization**: 0.000 μB/atom
**DOS(E_F)**: 1.49 states/eV/cell

=====

VASP calculation (PBE) on crystalline Pm2SmDy5 at its relaxed geometry.

Cell: 5.0557 7.1625 14.3267 Å, 90.00 90.00 90.00°
Closest atoms and distances in Å follow each position.
Element x y z (fractional)
Pm 0.5000 0.2507 0.6255  10 Dy 3.57-3.59, 2 Sm 3.58
Pm 0.5000 0.7493 0.3745  10 Dy 3.57-3.59, 2 Sm 3.58
Pm 0.5000 0.2493 0.1255  10 Dy 3.57-3.59, 2 Sm 3.58
Pm 0.5000 0.7507 0.8745  10 Dy 3.57-3.59, 2 Sm 3.58
Sm 0.0000 0.0000 0.5000  8 Dy 3.58-3.59, 4 Pm 3.58
Sm 0.0000 0.5000 0.0000  8 Dy 3.58-3.59, 4 Pm 3.58
Dy 0.0000 0.0000 0.0000  6 Dy 3.57-3.58, 4 Pm 3.58, 2 Sm 3.58
Dy 0.0000 0.5000 0.5000  6 Dy 3.57-3.58, 4 Pm 3.58, 2 Sm 3.58
Dy 0.0000 0.5005 0.7495  4 Pm 3.57-3.58, 7 Dy 3.57-3.58, 1 Sm 3.59
Dy 0.0000 0.4995 0.2505  4 Pm 3.57-3.58, 7 Dy 3.57-3.58, 1 Sm 3.59
Dy 0.0000 0.9995 0.2495  4 Pm 3.57-3.58, 7 Dy 3.57-3.58, 1 Sm 3.59
Dy 0.0000 0.0005 0.7505  4 Pm 3.57-3.58, 7 Dy 3.57-3.58, 1 Sm 3.59
Dy 0.5000 0.2504 0.8747  4 Pm 3.57-3.59, 6 Dy 3.57-3.58, 2 Sm 3.58
Dy 0.5000 0.7496 0.1253  4 Pm 3.57-3.59, 6 Dy 3.57-3.58, 2 Sm 3.58
Dy 0.5000 0.2496 0.3747  4 Pm 3.57-3.59, 6 Dy 3.57-3.58, 2 Sm 3.58
Dy 0.5000 0.7504 0.6253  4 Pm 3.57-3.59, 6 Dy 3.57-3.58, 2 Sm 3.58

**Formation energy from the elements**: 16 meV/atom
**Calculated volume**: 32.425 Å³ per atom
**Total magnetization**: 0.000 μB/atom
**DOS(E_F)**: 21.25 states/eV/cell

=====

VASP calculation (PBE) on crystalline BaCa3Be at its relaxed geometry.

Cell: 5.8172 5.8172 5.8172 Å, 90.00 90.00 90.00°
Closest atoms and distances in Å follow each position.
Element x y z (fractional)
Be 0.5000 0.5000 0.5000  12 Ca 4.11
Ca 0.0000 0.5000 0.0000  2 Ba 2.91
Ca 0.0000 0.0000 0.5000  2 Ba 2.91
Ca 0.5000 0.0000 0.0000  2 Ba 2.91
Ba 0.0000 0.0000 0.0000  6 Ca 2.91

**Formation energy from the elements**: 1493 meV/atom
**Calculated volume**: 39.370 Å³ per atom
**Total magnetization**: 0.000 μB/atom
**DOS(E_F)**: 4.78 states/eV/cell